(1)
The following is a SCAN calculation of a PBEsol-optimized structure of CdPNF2, from Alexandria via LeMat-Bulk.

POSCAR file:
```
CdPNF2
1.0
-1.064 3.640 1.705
-2.812 -1.934 2.375
3.097 -0.588 3.188
F P Cd N
2 1 1 1
direct
0.500 0.000 0.000
0.000 0.500 0.000
0.500 0.500 0.500
0.000 0.000 0.000
0.000 0.000 0.500
```

Results
ΔE to the lowest computed polymorph, meV per atom: 722
Fermi-level density of states, states/eV/cell: 2.115
Formation energy without anion corrections, eV per atom: 0.19

(2)
The following is a SCAN calculation of a PBEsol-optimized structure of CdPdN2F, from Alexandria via LeMat-Bulk.

POSCAR file:
```
CdPdN2F
1.0
-2.588 1.674 -2.786
2.194 -1.728 -3.076
-2.453 -3.464 0.197
Pd N Cd F
1 2 1 1
direct
0.500 0.500 0.500
0.000 0.500 0.000
0.500 0.000 0.000
0.000 0.000 0.000
0.000 0.000 0.500
```

Results
Fermi-level density of states, states/eV/cell: 3.566
Formation energy without anion corrections, eV per atom: 1.32

(3)
The following is a SCAN calculation of a PBEsol-optimized structure of CdPtN2F, from Alexandria via LeMat-Bulk.

POSCAR file:
```
CdPtN2F
1.0
3.966 0.000 0.000
0.000 4.148 0.000
0.000 0.000 4.148
Pt N Cd F
1 2 1 1
direct
0.500 0.500 0.500
0.000 0.500 0.000
0.000 0.000 0.500
0.000 0.000 0.000
0.500 0.000 0.000
```

Results
Fermi-level density of states, states/eV/cell: 3.895
Formation energy without anion corrections, eV per atom: 1.73